A relaxed structure of SiAs2CSe, computed with PBE.

Calculated values
Distance to the lowest polymorph of the same formula = 0.00 eV per formula unit
Spin magnetization = 0.00 Bohr magnetons per cell
Calculated density = 5.3 g cm⁻³
Formation energy (no corrections) = 1.19 eV/atom
Space group = No. 123

Unit cell a=4.3417 b=4.3417 c=4.4652 alpha=90.00 beta=90.00 gamma=90.00
Sites, in units of the cell vectors:
Si  0.0000  0.0000  0.0000
As  0.0000  0.5000  0.5000
As  0.5000  0.0000  0.5000
C  0.5000  0.5000  0.5000
Se  0.5000  0.5000  0.0000

A relaxed structure of RbSmS4, computed with PBE.

Calculated values
Spin magnetization = 0.00 Bohr magnetons per cell
Calculated density = 3.9 g cm⁻³
Formation energy (no corrections) = -1.21 eV/atom
Space group = No. 125

Unit cell a=6.0475 b=6.0475 c=8.3745 alpha=90.00 beta=90.00 gamma=90.00
Sites, in units of the cell vectors:
Rb  0.2500  0.2500  0.0000
Rb  0.7500  0.7500  0.0000
Sm  0.2500  0.2500  0.5000
Sm  0.7500  0.7500  0.5000
S  0.1265  0.6265  0.3009
S  0.1265  0.8735  0.6991
S  0.3735  0.6265  0.6991
S  0.3735  0.8735  0.3009
S  0.6265  0.1265  0.6991
S  0.6265  0.3735  0.3009
S  0.8735  0.1265  0.3009
S  0.8735  0.3735  0.6991

A relaxed structure of Ta3Ir4W, computed with PBE.

Calculated values
Spin magnetization = 0.00 Bohr magnetons per cell
Calculated density = 19.5 g cm⁻³
Energy relative to the elements = -529 meV/atom
Space group = No. 47

Unit cell a=3.9007 b=4.0275 c=8.0940 alpha=90.00 beta=90.00 gamma=90.00
Sites, in units of the cell vectors:
Ta  0.0000  0.0000  0.0000
Ta  0.0000  0.5000  0.2617
Ta  0.0000  0.5000  0.7383
Ir  0.5000  0.0000  0.2527
Ir  0.5000  0.0000  0.7473
Ir  0.5000  0.5000  0.0000
Ir  0.5000  0.5000  0.5000
W  0.0000  0.0000  0.5000

A relaxed structure of TmThReNi, computed with PBE.

Calculated values
Spin magnetization = 0.00 Bohr magnetons per cell
Calculated density = 13.0 g cm⁻³
Energy relative to the elements = -130 meV/atom
Space group = No. 216

Unit cell a=6.9129 b=6.9129 c=6.9129 alpha=90.00 beta=90.00 gamma=90.00
Sites, in units of the cell vectors:
Tm  0.0000  0.0000  0.0000
Tm  0.0000  0.5000  0.5000
Tm  0.5000  0.0000  0.5000
Tm  0.5000  0.5000  0.0000
Th  0.0000  0.0000  0.5000
Th  0.0000  0.5000  0.0000
Th  0.5000  0.0000  0.0000
Th  0.5000  0.5000  0.5000
Re  0.2500  0.2500  0.2500
Re  0.2500  0.7500  0.7500
Re  0.7500  0.2500  0.7500
Re  0.7500  0.7500  0.2500
Ni  0.2500  0.2500  0.7500
Ni  0.2500  0.7500  0.2500
Ni  0.7500  0.2500  0.2500
Ni  0.7500  0.7500  0.7500

A relaxed structure of Cs2BaTiS4, computed with PBE.

Calculated values
Spin magnetization = 0.00 Bohr magnetons per cell
Calculated density = 2.4 g cm⁻³
Formation energy (no corrections) = -1.33 eV/atom
Space group = No. 70

Unit cell a=16.8982 b=15.7358 c=8.0472 alpha=83.92 beta=67.82 gamma=28.26
Sites, in units of the cell vectors:
Cs  0.0721  0.0721  0.6779
Cs  0.3221  0.3221  0.9279
Cs  0.6779  0.6779  0.0721
Cs  0.9279  0.9279  0.3221
Ba  0.1250  0.1250  0.1250
Ba  0.8750  0.8750  0.8750
Ti  0.3750  0.3750  0.3750
Ti  0.6250  0.6250  0.6250
S  0.0563  0.6123  0.5007
S  0.3307  0.5007  0.6123
S  0.3877  0.9437  0.6693
S  0.4993  0.6693  0.9437
S  0.5007  0.3307  0.0563
S  0.6123  0.0563  0.3307
S  0.6693  0.4993  0.3877
S  0.9437  0.3877  0.4993

A relaxed structure of Os2Br, computed with PBE.

Calculated values
Distance to the lowest polymorph of the same formula = 0.93 eV per formula unit
Spin magnetization = 0.00 Bohr magnetons per cell
Calculated density = 11.7 g cm⁻³
Formation energy (no corrections) = 0.85 eV/atom
Space group = No. 63

Unit cell a=2.9376 b=21.5484 c=4.1319 alpha=90.00 beta=90.00 gamma=90.00
Sites, in units of the cell vectors:
Os  0.0000  0.1636  0.2500
Os  0.0000  0.2370  0.7500
Os  0.0000  0.7630  0.2500
Os  0.0000  0.8364  0.7500
Os  0.5000  0.2630  0.2500
Os  0.5000  0.3364  0.7500
Os  0.5000  0.6636  0.2500
Os  0.5000  0.7370  0.7500
Br  0.0000  0.4142  0.2500
Br  0.0000  0.5858  0.7500
Br  0.5000  0.0858  0.7500
Br  0.5000  0.9142  0.2500

A relaxed structure of MnSiSe4, computed with PBE.

Calculated values
Distance to the lowest polymorph of the same formula = 6.45 eV per formula unit
Spin magnetization = 4.55 Bohr magnetons per cell
Calculated density = 5.2 g cm⁻³
Formation energy (no corrections) = 0.82 eV/atom
Space group = No. 216

Unit cell a=5.6629 b=5.6629 c=5.6629 alpha=60.00 beta=60.00 gamma=60.00
Sites, in units of the cell vectors:
Mn  0.0000  0.0000  0.0000
Si  0.2500  0.2500  0.2500
Se  0.1240  0.6253  0.6253
Se  0.6253  0.1240  0.6253
Se  0.6253  0.6253  0.1240
Se  0.6253  0.6253  0.6253

A relaxed structure of NaSmZr, computed with PBE.

Calculated values
Spin magnetization = 0.01 Bohr magnetons per cell
Calculated density = 4.7 g cm⁻³
Energy relative to the elements = 516 meV/atom
Space group = No. 69

Unit cell a=8.2354 b=6.7304 c=6.1699 alpha=79.21 beta=53.40 gamma=47.39
Sites, in units of the cell vectors:
Na  0.1638  0.8362  0.1638
Na  0.8362  0.1638  0.8362
Sm  0.3442  0.3442  0.6558
Sm  0.6558  0.6558  0.3442
Zr  0.2500  0.2500  0.2500
Zr  0.7500  0.7500  0.7500

A relaxed structure of LiCr2TcTe, computed with PBE.

Calculated values
Spin magnetization = 5.63 Bohr magnetons per cell
Calculated density = 5.4 g cm⁻³
Formation energy (no corrections) = 0.87 eV/atom
Space group = No. 123

Unit cell a=4.6286 b=4.6286 c=4.8014 alpha=90.00 beta=90.00 gamma=90.00
Sites, in units of the cell vectors:
Li  0.0000  0.0000  0.0000
Cr  0.0000  0.5000  0.5000
Cr  0.5000  0.0000  0.5000
Tc  0.0000  0.0000  0.5000
Te  0.5000  0.5000  0.0000

A relaxed structure of HfTa2MoPt, computed with PBE.

Calculated values
Spin magnetization = 0.00 Bohr magnetons per cell
Calculated density = 12.5 g cm⁻³
Energy relative to the elements = 1189 meV/atom
Space group = No. 123

Unit cell a=4.7305 b=4.7305 c=4.9263 alpha=90.00 beta=90.00 gamma=90.00
Sites, in units of the cell vectors:
Hf  0.0000  0.0000  0.0000
Ta  0.0000  0.5000  0.5000
Ta  0.5000  0.0000  0.5000
Mo  0.0000  0.0000  0.5000
Pt  0.5000  0.5000  0.0000

A relaxed structure of Sm2Al4Ir3Au, computed with PBE.

Calculated values
Spin magnetization = 0.00 Bohr magnetons per cell
Calculated density = 10.4 g cm⁻³
Energy relative to the elements = -806 meV/atom
Space group = No. 115

Unit cell a=4.1889 b=4.1889 c=10.7161 alpha=90.00 beta=90.00 gamma=90.00
Sites, in units of the cell vectors:
Sm  0.0000  0.5000  0.2444
Sm  0.5000  0.0000  0.7556
Al  0.0000  0.0000  0.0000
Al  0.0000  0.5000  0.6340
Al  0.5000  0.0000  0.3660
Al  0.5000  0.5000  0.0000
Ir  0.0000  0.5000  0.8661
Ir  0.5000  0.0000  0.1339
Ir  0.5000  0.5000  0.5000
Au  0.0000  0.0000  0.5000

A relaxed structure of Cd2InNi2, computed with PBE.

Calculated values
Spin magnetization = 0.00 Bohr magnetons per cell
Calculated density = 8.2 g cm⁻³
Energy relative to the elements = 207 meV/atom
Space group = No. 139

Unit cell a=3.9033 b=3.9033 c=12.1840 alpha=90.00 beta=90.00 gamma=90.00
Sites, in units of the cell vectors:
Cd  0.0000  0.5000  0.2500
Cd  0.0000  0.5000  0.7500
Cd  0.5000  0.0000  0.2500
Cd  0.5000  0.0000  0.7500
In  0.0000  0.0000  0.0000
In  0.5000  0.5000  0.5000
Ni  0.0000  0.0000  0.4065
Ni  0.0000  0.0000  0.5935
Ni  0.5000  0.5000  0.0935
Ni  0.5000  0.5000  0.9065

Look up the spin magnetization of the eleventh one.
0.00 Bohr magnetons per cell

What is the spin magnetization in the ninth record?
5.63 Bohr magnetons per cell